1.
6
Lattice="4.8210 0.0000 0.0000 0.0000 3.6963 0.0000 -0.0106 0.0000 9.7368" Properties=species:S:1:pos:R:3 comment="CeTmBr (GGA-PBE, relaxed)" space_group=P2_1/m e_form_raw_ev_per_atom=-0.625 n_ef_per_ev_atom=2.86 polymorph_energy_kj_per_mol_atoms=1.5 pbc="T T T"
Ce 1.1996 0.9241 1.8897
Ce 3.6107 2.7722 7.8470
Tm 1.1999 0.9241 5.5121
Tm 3.6104 2.7722 4.2247
Br 1.1996 0.9241 8.4834
Br 3.6107 2.7722 1.2533



2.
4
Lattice="1.7895 1.0332 10.0825 -1.7895 1.0332 10.0825 0.0000 -2.0663 10.0825" Properties=species:S:1:pos:R:3 comment="CeTm2Br (GGA-PBE, relaxed)" space_group=R-3m e_form_raw_ev_per_atom=-0.482 n_ef_per_ev_atom=1.36 pbc="T T T"
Ce 0.0000 0.0000 0.0000
Tm 0.0000 0.0000 7.3600
Tm 0.0000 0.0000 22.8876
Br 0.0000 0.0000 15.1238



3.
3
Lattice="3.6164 0.0000 0.0000 -1.8082 3.1319 0.0000 0.0000 0.0000 7.5718" Properties=species:S:1:pos:R:3 comment="CeTmBr (GGA-PBE, relaxed)" space_group=P3m1 e_form_raw_ev_per_atom=-0.641 n_ef_per_ev_atom=2.17 polymorph_energy_kj_per_mol_atoms=0.0 pbc="T T T"
Ce 0.0000 0.0000 0.0000
Tm 1.8082 1.0440 2.7663
Br 0.0000 2.0879 4.9812



4.
8
Lattice="3.6356 -6.5047 0.0000 3.6356 6.5047 0.0000 -2.0350 0.0000 6.9837" Properties=species:S:1:pos:R:3 comment="CeUBr6 (GGA-PBE, relaxed)" space_group=C2/m e_form_raw_ev_per_atom=-1.518 n_ef_per_ev_atom=1.71 pbc="T T T"
Ce 0.0000 0.0000 0.0000
U 2.6181 0.0000 3.4919
Br 1.3414 1.9541 1.7716
Br 0.3084 0.0000 5.2086
Br 1.3414 -1.9541 1.7716
Br 3.8947 1.9541 5.2121
Br 4.9277 0.0000 1.7752
Br 3.8947 -1.9541 5.2121



5.
4
Lattice="1.7568 1.0143 9.3517 -1.7568 1.0143 9.3517 0.0000 -2.0286 9.3517" Properties=species:S:1:pos:R:3 comment="Ce2VBr (GGA-PBE, relaxed)" space_group=R-3m e_form_raw_ev_per_atom=-0.159 n_ef_per_ev_atom=2.46 pbc="T T T"
Ce 0.0000 0.0000 6.8841
Ce 0.0000 0.0000 21.1709
V 0.0000 0.0000 14.0275
Br 0.0000 0.0000 0.0000



6.
4
Lattice="1.8535 1.0701 9.3233 -1.8535 1.0701 9.3233 0.0000 -2.1403 9.3233" Properties=species:S:1:pos:R:3 comment="CeVBr2 (GGA-PBE, relaxed)" space_group=R-3m e_form_raw_ev_per_atom=-0.306 n_ef_per_ev_atom=1.57 pbc="T T T"
Ce 0.0000 0.0000 0.0000
V 0.0000 0.0000 13.9850
Br 0.0000 0.0000 3.1135
Br 0.0000 0.0000 24.8565